DFT (PBE) results for crystalline TaCoNi3 at its relaxed geometry.

- Volume: 211 Å³/cell
- M_tot: 0.00 μB per formula unit
- Total energy: -106.4 eV for the cell shown
- Energy relative to the elements: 0.17 eV/atom

Cell lengths 4.6268, 4.6268, 11.4065 Å; angles 90.00, 90.00, 120.00 degrees
Space group R3m (No. 160, hexagonal axes)
Asymmetric unit:
Ta 0.0000 0.0000 0.0000 [3 per cell]
Co 0.0000 0.0000 0.6269 [3 per cell]
Ni 0.0016 0.5008 0.1276 [9 per cell]



DFT (PBE) results for crystalline Sm2Re2N5 at its relaxed geometry.

- Uncorrected formation energy: -0.675 eV/atom
- Volume: 481 Å³/cell
- M_tot: 0.00 μB per formula unit
- Total energy: -328.1 eV for the cell shown

Cell lengths 15.534, 5.592, 5.536 Å; angles 90.00, 90.00, 90.00 degrees
Space group Ima2 (No. 46)
Asymmetric unit:
Sm 0.117 0.003 0.000 [8 per cell]
Re 0.000 0.000 0.497 [4 per cell]
Re 0.250 0.519 0.989 [4 per cell]
N 0.016 0.749 0.747 [8 per cell]
N 0.130 0.060 0.498 [8 per cell]
N 0.250 0.702 0.693 [4 per cell]



DFT (PBE) results for crystalline SrCa2I6 at its relaxed geometry.

- Uncorrected formation energy: -1.603 eV/atom
- Volume: 1188 Å³/cell
- M_tot: 0.00 μB per formula unit
- Total energy: -88.2 eV for the cell shown

Cell lengths 13.8506, 13.8506, 7.1523 Å; angles 90.00, 90.00, 120.00 degrees
Space group P321 (No. 150)
Asymmetric unit:
Sr 0.0000 0.0000 0.0000 [1 per cell]
Sr 0.3333 0.6667 0.5016 [2 per cell]
Ca 0.0000 0.3228 0.5000 [3 per cell]
Ca 0.0000 0.6569 0.0000 [3 per cell]
I 0.1041 0.5409 0.7529 [6 per cell]
I 0.1045 0.8749 0.7499 [6 per cell]
I 0.2166 0.4378 0.2485 [6 per cell]



DFT (PBE) results for crystalline AcPm2Pr2 at its relaxed geometry.

- Volume: 371 Å³/cell
- M_tot: 0.00 μB per formula unit
- Total energy: -45.3 eV for the cell shown
- Energy relative to the elements: 0.11 eV/atom

Cell lengths 4.312, 4.312, 19.938 Å; angles 90.00, 90.00, 90.00 degrees
Space group I4/mmm (No. 139)
Asymmetric unit:
Ac 0.000 0.000 0.000 [2 per cell]
Pm 0.000 0.000 0.205 [4 per cell]
Pr 0.000 0.000 0.387 [4 per cell]



What did the second record say?
DFT (PBE) results for crystalline Sm2Re2N5 at its relaxed geometry.

- Uncorrected formation energy: -0.675 eV/atom
- Volume: 481 Å³/cell
- M_tot: 0.00 μB per formula unit
- Total energy: -328.1 eV for the cell shown

Cell lengths 15.534, 5.592, 5.536 Å; angles 90.00, 90.00, 90.00 degrees
Space group Ima2 (No. 46)
Asymmetric unit:
Sm 0.117 0.003 0.000 [8 per cell]
Re 0.000 0.000 0.497 [4 per cell]
Re 0.250 0.519 0.989 [4 per cell]
N 0.016 0.749 0.747 [8 per cell]
N 0.130 0.060 0.498 [8 per cell]
N 0.250 0.702 0.693 [4 per cell]



Please write out number 4 again, unchanged.
DFT (PBE) results for crystalline AcPm2Pr2 at its relaxed geometry.

- Volume: 371 Å³/cell
- M_tot: 0.00 μB per formula unit
- Total energy: -45.3 eV for the cell shown
- Energy relative to the elements: 0.11 eV/atom

Cell lengths 4.312, 4.312, 19.938 Å; angles 90.00, 90.00, 90.00 degrees
Space group I4/mmm (No. 139)
Asymmetric unit:
Ac 0.000 0.000 0.000 [2 per cell]
Pm 0.000 0.000 0.205 [4 per cell]
Pr 0.000 0.000 0.387 [4 per cell]



> Which value of volume does entry 2 give?

481 Å³/cell